No. 1
A geometry-optimized Pm3Pr2Bi3 structure. Source: the Alexandria database, functional GGA-PBE.

Summary:
ρ in g/cm3: 8.64
Formation energy from the elements in kJ/mol of formula units: -595

Cell and atoms, written as POSCAR:
```
Pm3Pr2Bi3
1.0
-2.146 1.419 6.062
8.520 -2.313 3.558
-1.752 8.953 -2.716
Pr Bi Pm
4 6 6
Direct
0.500 0.333 0.667
0.000 0.667 0.333
0.000 0.333 0.667
0.500 0.667 0.333
0.250 0.615 0.615
0.250 0.000 0.385
0.750 0.615 0.000
0.750 0.385 0.385
0.750 0.000 0.615
0.250 0.385 0.000
0.750 0.000 0.247
0.250 0.247 0.247
0.750 0.753 0.753
0.250 0.753 0.000
0.250 0.000 0.753
0.750 0.247 0.000
```

No. 2
A geometry-optimized GeTePb2 structure. Source: the Alexandria database, functional GGA-PBE.

Summary:
ρ in g/cm3: 8.94
Energy relative to the lowest polymorph listed for this composition in eV per atom: 0.000
Formation energy (no corrections) in eV per atom: 0.1560

Cell and atoms, written as POSCAR:
```
GeTePb2
1.0
-4.698 0.093 2.751
-4.632 -1.444 -2.472
-2.461 -4.668 1.342
Te Pb Ge
1 2 1
Direct
0.500 0.500 0.500
0.750 0.750 0.750
0.250 0.250 0.250
0.000 0.000 0.000
```

No. 3
A geometry-optimized PmMgSc2Pt2 structure. Source: the Alexandria database, functional GGA-PBE.

Summary:
ρ in g/cm3: 8.43
Formation energy from the elements in kJ/mol of formula units: -522

Cell and atoms, written as POSCAR:
```
PmMgSc2Pt2
1.0
4.749 0.000 0.000
-2.375 4.113 0.000
0.000 0.000 6.546
Mg Pt Pm Sc
1 2 1 2
Direct
0.000 0.000 0.500
0.333 0.667 0.260
0.667 0.333 0.740
0.000 0.000 0.000
0.667 0.333 0.327
0.333 0.667 0.673
```

No. 4
A geometry-optimized CrNiBr2 structure. Source: the Alexandria database, functional GGA-PBE.

Summary:
ρ in g/cm3: 5.60
Energy relative to the lowest polymorph listed for this composition in eV per atom: 0.841
Formation energy (no corrections) in eV per atom: 0.7457

Cell and atoms, written as POSCAR:
```
CrNiBr2
1.0
4.841 0.000 0.000
2.421 4.193 0.000
2.421 1.398 3.953
Br Ni Cr
2 1 1
Direct
0.000 0.000 0.000
0.250 0.250 0.250
0.750 0.750 0.750
0.500 0.500 0.500
```

Q: The highest ρ belongs to which entry?
A: GeTePb2

Q: Which of these has the lowest ρ?
A: CrNiBr2

Q: The lowest ρ belongs to which entry?
A: CrNiBr2

Q: What is the ρ in the first record?
A: 8.64 g/cm3